Model i:
TmAuSO | GGA-PBE | optimized geometry

a = 5.4384 Å, b = 5.4384 Å, c = 9.1203 Å
α = 90.00°, β = 90.00°, γ = 90.00°
Space group P4bm (No. 100)
Unique sites:
Tm1 0.0000 0.0000 0.0000
Tm2 0.0000 0.5000 0.2407
Au1 0.1817 0.3183 0.6134
S1 0.0000 0.0000 0.4053
S2 0.0000 0.5000 0.8438
O1 0.2490 0.2510 0.1216

Properties
Spin magnetization in μB per cell: 0.00


Model ii:
TmAuSO | GGA-PBE | optimized geometry

a = 5.5126 Å, b = 9.0552 Å, c = 5.5387 Å
α = 90.00°, β = 90.00°, γ = 90.00°
Space group Pcca (No. 54)
Unique sites:
Tm1 0.0000 0.1183 0.2500
Au1 0.2500 0.5000 0.2250
S1 0.0000 0.2797 0.7500
O1 0.2500 0.0000 0.0007

Properties
Spin magnetization in μB per cell: 0.00


Energies relative to the minimum, meV/atom: model i 70; model ii 0


Model i:
Co | GGA-PBE | optimized geometry

a = 2.4560 Å, b = 2.4560 Å, c = 29.0373 Å
α = 90.00°, β = 90.00°, γ = 120.00°
Space group P-3m1 (No. 164)
Unique sites:
Co1 0.0000 0.0000 0.0000
Co2 0.0000 0.0000 0.2093
Co3 0.3333 0.6667 0.1385
Co4 0.3333 0.6667 0.7227
Co5 0.3333 0.6667 0.9306

Properties
Spin magnetization in μB per cell: 14.70


Model ii:
Co | GGA-PBE | optimized geometry

a = 7.7381 Å, b = 3.4603 Å, c = 27.6880 Å
α = 90.00°, β = 90.48°, γ = 90.00°
Space group C2/m (No. 12)
Unique sites:
Co1 0.0489 0.0000 0.4000
Co2 0.0500 0.5000 0.5425
Co3 0.0508 0.0000 0.6863
Co4 0.0507 0.5000 0.2618
Co5 0.1499 0.0000 0.4858
Co6 0.1504 0.5000 0.3428
Co7 0.1510 0.5000 0.6282
Co8 0.2489 0.5000 0.7135
Co9 0.2501 0.0000 0.5709

Properties
Spin magnetization in μB per cell: 59.96


Energies relative to the minimum, meV/atom: model i 0; model ii 94


Model i:
TmPtNO | GGA-PBE | optimized geometry

a = 3.8832 Å, b = 6.1582 Å, c = 5.1218 Å
α = 90.00°, β = 90.00°, γ = 90.00°
Space group Pmc2_1 (No. 26)
Unique sites:
Tm1 0.0000 0.1886 0.0000
Pt1 0.5000 0.4216 0.4882
N1 0.5000 0.2820 0.8281
O1 0.0000 0.1456 0.4096

Properties
Spin magnetization in μB per cell: 0.27


Model ii:
TmPtNO | GGA-PBE | optimized geometry

a = 4.7842 Å, b = 4.7842 Å, c = 4.4161 Å
α = 90.00°, β = 90.00°, γ = 90.00°
Space group P4/nmm (No. 129, origin choice 2)
Unique sites:
Tm1 0.2500 0.7500 0.0000
Pt1 0.2500 0.2500 0.4989
N1 0.2500 0.2500 0.9989
O1 0.2500 0.7500 0.5000

Properties
Spin magnetization in μB per cell: 0.00


Energies relative to the minimum, meV/atom: model i 0; model ii 95